No. 1
VASP calculation (PBE) on an optimized crystal structure of CrRuRh2.

Unit cell a=4.1592 b=4.1592 c=11.5459 alpha=90.00 beta=90.00 gamma=120.00
Closest atoms and distances in Å follow each position.
Space group R3m (No. 160, hexagonal axes)
Unique sites:
Cr (0.0000, 0.0000, 0.0000) x3  3 Rh 2.40, 1 Ru 2.51
Ru (0.0000, 0.0000, 0.7828) x3  4 Cr 2.51-2.75, 7 Rh 2.62-2.77
Rh (0.0000, 0.0000, 0.3298) x3  3 Cr 2.40, 1 Rh 2.61
Rh (0.0000, 0.0000, 0.5556) x3  4 Rh 2.61-2.70, 4 Ru 2.62-2.70, 3 Cr 2.72

Values from the calculation:
Uncorrected energy = -8.12 eV/atom
Formation enthalpy at 0 K = 0.2768 eV/atom
Mass density = 10.34 Mg/m³
Fermi-level density of states = 1.119 states/eV per atom

No. 2
VASP calculation (PBE) on an optimized crystal structure of AcHoPt2.

Unit cell a=6.1426 b=4.7345 c=7.5487 alpha=90.00 beta=113.24 gamma=90.00
Closest atoms and distances in Å follow each position.
Space group P2_1/m (No. 11)
Unique sites:
Ac (0.2096, 0.2500, 0.3787) x2  7 Pt 3.12-3.36
Ho (0.2875, 0.2500, 0.9095) x2  7 Pt 2.89-3.22
Pt (0.1842, 0.7500, 0.0810) x2  4 Ho 2.89-3.22, 2 Pt 3.17, 2 Ac 3.23
Pt (0.3323, 0.7500, 0.7046) x2  3 Ho 2.90-2.93, 2 Ac 3.12-3.13

Values from the calculation:
Uncorrected energy = -6.34 eV/atom
Formation enthalpy at 0 K = -1.1478 eV/atom
Mass density = 12.88 Mg/m³
Fermi-level density of states = 0.524 states/eV per atom

No. 3
VASP calculation (PBE) on an optimized crystal structure of CoMo2W.

Unit cell a=9.1811 b=2.6760 c=4.8862 alpha=90.00 beta=100.12 gamma=90.00
Closest atoms and distances in Å follow each position.
Space group Cm (No. 8)
Unique sites:
Co (0.0000, 0.0000, 0.0000) x2  3 W 2.60-2.88, 7 Mo 2.61-2.91, 2 Co 2.68
Mo (0.9995, 0.5000, 0.4984) x2  5 Mo 2.67-2.90, 3 W 2.70-2.90, 4 Co 2.78-2.79
Mo (0.2678, 0.0000, 0.7596) x2  3 Co 2.61-2.91, 5 Mo 2.67-2.90, 4 W 2.73-2.88
W (0.2325, 0.5000, 0.2302) x2  3 Co 2.60-2.88, 2 W 2.68, 7 Mo 2.70-2.90

Values from the calculation:
Uncorrected energy = -10.19 eV/atom
Formation enthalpy at 0 K = 0.2365 eV/atom
Mass density = 12.21 Mg/m³
Fermi-level density of states = 0.829 states/eV per atom

No. 4
VASP calculation (PBE) on an optimized crystal structure of Ho3NiSn2.

Unit cell a=11.9809 b=4.3527 c=11.6132 alpha=90.00 beta=90.00 gamma=90.00
Closest atoms and distances in Å follow each position.
Space group Pnma (No. 62)
Unique sites:
Ho (0.0553, 0.2500, 0.1284) x4  1 Ni 2.89, 4 Sn 3.09-3.12
Ho (0.1209, 0.7500, 0.5528) x4  3 Ni 3.07-3.12, 5 Sn 3.10-3.20
Ho (0.2322, 0.2500, 0.7947) x4  2 Ni 2.87, 2 Sn 3.12-3.13
Ni (0.1271, 0.2500, 0.3659) x4  3 Sn 2.66-2.68, 3 Ho 2.87-2.89
Sn (0.0080, 0.7500, 0.3109) x4  2 Ni 2.68
Sn (0.1909, 0.7500, 0.9964) x4  1 Ni 2.66

Values from the calculation:
Uncorrected energy = -5.26 eV/atom
Formation enthalpy at 0 K = -0.6686 eV/atom
Mass density = 8.67 Mg/m³
Fermi-level density of states = 0.730 states/eV per atom

No. 5
VASP calculation (PBE) on an optimized crystal structure of CaSc2F2.

Unit cell a=3.5221 b=3.5221 c=16.5529 alpha=90.00 beta=90.00 gamma=90.00
Closest atoms and distances in Å follow each position.
Space group I4/mmm (No. 139)
Unique sites:
Ca (0.0000, 0.0000, 0.0000) x2  4 Ca 3.52, 8 Sc 3.69
Sc (0.0000, 0.0000, 0.3353) x4  4 F 2.26
F (0.0000, 0.5000, 0.2500) x4  4 Sc 2.26, 4 F 2.49

Values from the calculation:
Uncorrected energy = -5.53 eV/atom
Formation energy from raw total energies = -1.851 eV per atom
Mass density = 2.72 Mg/m³
Fermi-level density of states = 1.051 states/eV per atom

No. 6
VASP calculation (PBE) on an optimized crystal structure of AcTb8Pm6.

Unit cell a=9.8043 b=9.8043 c=18.4780 alpha=90.00 beta=90.00 gamma=120.00
Closest atoms and distances in Å follow each position.
Space group R-3 (No. 148, hexagonal axes)
Unique sites:
Ac (0.0000, 0.0000, 0.0000) x3  6 Tb 3.22
Tb (0.0000, 0.0000, 0.2322) x6  6 Tb 3.37-3.56
Tb (0.0444, 0.7580, 0.8987) x18  3 Tb 3.20-3.56, 1 Ac 3.22, 4 Pm 3.43-3.52
Pm (0.0236, 0.7871, 0.4056) x18  6 Tb 3.43-3.81, 3 Pm 3.65-3.83

Values from the calculation:
Uncorrected energy = -4.44 eV/atom
Formation enthalpy at 0 K = 0.2015 eV/atom
Mass density = 7.67 Mg/m³
Fermi-level density of states = 1.399 states/eV per atom

No. 7
VASP calculation (PBE) on an optimized crystal structure of Tb3As2C.

Unit cell a=10.4329 b=8.0680 c=6.5271 alpha=90.00 beta=90.00 gamma=90.00
Closest atoms and distances in Å follow each position.
Space group Cmcm (No. 63)
Unique sites:
Tb (0.0000, 0.1401, 0.2500) x4  1 C 2.26
Tb (0.1605, 0.5000, 0.0000) x8  2 C 2.43
As (0.1442, 0.1835, 0.7500) x8  5 Tb 3.00-3.03, 1 As 3.01
C (0.0000, 0.4198, 0.2500) x4  5 Tb 2.26-2.43

Values from the calculation:
Uncorrected energy = -6.14 eV/atom
Formation enthalpy at 0 K = -0.7347 eV/atom
Mass density = 7.72 Mg/m³
Fermi-level density of states = 0.466 states/eV per atom

No. 8
VASP calculation (PBE) on an optimized crystal structure of BeCuMo2W.

Unit cell a=4.3038 b=4.3038 c=3.8007 alpha=90.00 beta=90.00 gamma=90.00
Closest atoms and distances in Å follow each position.
Space group P4/mmm (No. 123)
Unique sites:
Be (0.0000, 0.0000, 0.0000) x1  2 Cu 1.90
Cu (0.0000, 0.0000, 0.5000) x1  2 Be 1.90
Mo (0.0000, 0.5000, 0.0000) x2  2 Be 2.15
W (0.5000, 0.5000, 0.5000) x1  8 Mo 2.87, 4 Cu 3.04

Values from the calculation:
Uncorrected energy = -7.88 eV/atom
Formation enthalpy at 0 K = 0.6066 eV/atom
Mass density = 10.57 Mg/m³
Fermi-level density of states = 0.404 states/eV per atom

No. 9
VASP calculation (PBE) on an optimized crystal structure of LiTb2SmHg4.

Unit cell a=5.1504 b=5.1504 c=26.1300 alpha=90.00 beta=90.00 gamma=120.00
Closest atoms and distances in Å follow each position.
Space group R-3m (No. 166, hexagonal axes)
Unique sites:
Li (0.0000, 0.0000, 0.0000) x3  8 Hg 3.10-3.15
Tb (0.0000, 0.0000, 0.2561) x6  7 Hg 3.07-3.17
Sm (0.0000, 0.0000, 0.5000) x3  8 Hg 3.23-3.30
Hg (0.0000, 0.0000, 0.1188) x6  1 Li 3.10, 3 Tb 3.17, 3 Sm 3.23
Hg (0.0000, 0.0000, 0.3736) x6  4 Tb 3.07-3.13, 3 Li 3.15, 1 Sm 3.30

Values from the calculation:
Uncorrected energy = -2.59 eV/atom
Formation enthalpy at 0 K = -0.4489 eV/atom
Mass density = 10.60 Mg/m³
Fermi-level density of states = 0.900 states/eV per atom

No. 10
VASP calculation (PBE) on an optimized crystal structure of Zr2SiOs.

Unit cell a=3.8550 b=3.8550 c=9.6502 alpha=90.00 beta=90.00 gamma=90.00
Closest atoms and distances in Å follow each position.
Space group I-4m2 (No. 119)
Unique sites:
Zr (0.0000, 0.0000, 0.0000) x2  4 Si 2.73
Zr (0.0000, 0.5000, 0.2500) x2  4 Os 2.73
Si (0.0000, 0.0000, 0.5000) x2  4 Zr 2.73
Os (0.0000, 0.5000, 0.7500) x2  4 Zr 2.73

Values from the calculation:
Uncorrected energy = -8.82 eV/atom
Formation energy from raw total energies = -0.380 eV per atom
Mass density = 9.28 Mg/m³
Fermi-level density of states = 0.718 states/eV per atom

No. 11
VASP calculation (PBE) on an optimized crystal structure of NbCuGe2.

Unit cell a=6.3679 b=6.3679 c=6.3679 alpha=90.00 beta=90.00 gamma=90.00
Closest atoms and distances in Å follow each position.
Space group Fm-3m (No. 225)
Unique sites:
Nb (0.0000, 0.0000, 0.0000) x4  8 Ge 2.76
Cu (0.0000, 0.0000, 0.5000) x4  8 Ge 2.76
Ge (0.2500, 0.2500, 0.2500) x8  4 Cu 2.76, 4 Nb 2.76

Values from the calculation:
Uncorrected energy = -5.64 eV/atom
Formation enthalpy at 0 K = 0.2068 eV/atom
Mass density = 7.76 Mg/m³
Fermi-level density of states = 0.628 states/eV per atom

No. 12
VASP calculation (PBE) on an optimized crystal structure of LiSi2Ni.

Unit cell a=3.1854 b=3.1854 c=4.9051 alpha=90.00 beta=90.00 gamma=90.00
Closest atoms and distances in Å follow each position.
Space group P4mm (No. 99)
Unique sites:
Li (0.0000, 0.0000, 0.0000) x1  6 Si 2.40-2.55, 4 Ni 2.62
Si (0.0000, 0.0000, 0.4885) x1  2 Li 2.40-2.51, 4 Ni 2.49, 4 Si 2.61
Si (0.5000, 0.5000, 0.7567) x1  2 Ni 2.38-2.53, 4 Li 2.55, 4 Si 2.61
Ni (0.5000, 0.5000, 0.2723) x1  6 Si 2.38-2.53, 4 Li 2.62

Values from the calculation:
Uncorrected energy = -4.79 eV/atom
Formation energy from raw total energies = -0.155 eV per atom
Mass density = 4.06 Mg/m³
Fermi-level density of states = 0.447 states/eV per atom

No. 13
VASP calculation (PBE) on an optimized crystal structure of RbTbVS4.

Unit cell a=6.5732 b=6.7102 c=9.0747 alpha=90.00 beta=107.82 gamma=90.00
Closest atoms and distances in Å follow each position.
Space group P2_1/m (No. 11)
Unique sites:
Rb (0.2407, 0.2500, 0.4414) x2  8 S 3.30-3.61
Tb (0.2865, 0.2500, 0.9553) x2  6 S 2.79-2.83
V (0.2593, 0.7500, 0.1623) x2  4 S 2.16-2.24
S (0.0607, 0.7500, 0.9232) x2  1 V 2.16
S (0.0642, 0.7500, 0.3186) x2  1 V 2.18
S (0.4982, 0.5018, 0.1984) x4  1 V 2.24

Values from the calculation:
Uncorrected energy = -5.84 eV/atom
Formation energy from raw total energies = -1.377 eV per atom
Mass density = 3.69 Mg/m³
Fermi-level density of states = 0.568 states/eV per atom